[1]
! Cu4W3 (GGA-PBE, optimized geometry); values from VASP
&SYSTEM
  ibrav = 0, nat = 7, ntyp = 2
/
ATOMIC_SPECIES
W 183.84 W.upf
Cu 63.55 Cu.upf
CELL_PARAMETERS angstrom
-9.543 -2.352 2.335
-9.738 2.068 1.715
9.191 -0.181 -4.189
ATOMIC_POSITIONS crystal
W 0.715 0.715 0.000
W 0.000 0.000 0.000
W 0.285 0.285 0.000
Cu 0.574 0.574 0.000
Cu 0.426 0.426 0.000
Cu 0.865 0.865 0.000
Cu 0.135 0.135 0.000
! Energy of formation ... 0.44 eV/atom
! Space-group type ... No. 139
! Total magnetic moment ... 0.00 Bohr magnetons per cell
! Energy above the lowest structure with this stoichiometry ... 0 meV/atom
! Density of states at the Fermi level ... 0.73 states/eV per atom

[2]
! DyEr2Ag (GGA-PBE, optimized geometry); values from VASP
&SYSTEM
  ibrav = 0, nat = 4, ntyp = 3
/
ATOMIC_SPECIES
Ag 107.87 Ag.upf
Dy 162.50 Dy.upf
Er 167.26 Er.upf
CELL_PARAMETERS angstrom
-0.692 -2.160 -2.692
0.992 -3.374 0.151
-9.028 -4.335 3.499
ATOMIC_POSITIONS crystal
Ag 0.000 0.000 0.000
Dy 0.500 0.500 0.500
Er 0.258 0.258 0.225
Er 0.742 0.742 0.775
! Energy of formation ... -0.02 eV/atom
! Space-group type ... No. 166
! Total magnetic moment ... 0.00 Bohr magnetons per cell
! Energy above the lowest structure with this stoichiometry ... 115 meV/atom
! Density of states at the Fermi level ... 1.14 states/eV per atom

[3]
! Sr3In2Ge2 (GGA-PBE, optimized geometry); values from VASP
&SYSTEM
  ibrav = 0, nat = 7, ntyp = 3
/
ATOMIC_SPECIES
In 114.82 In.upf
Sr 87.62 Sr.upf
Ge 72.64 Ge.upf
CELL_PARAMETERS angstrom
4.894 0.000 0.000
-2.447 5.470 -2.369
0.000 -0.084 8.278
ATOMIC_POSITIONS crystal
In 0.816 0.632 0.075
In 0.184 0.368 0.925
Sr 0.500 0.000 0.000
Sr 0.675 0.350 0.619
Sr 0.325 0.650 0.381
Ge 0.966 0.933 0.638
Ge 0.034 0.067 0.362
! Energy of formation ... -0.47 eV/atom
! Space-group type ... No. 12
! Total magnetic moment ... 0.00 Bohr magnetons per cell
! Density of states at the Fermi level ... 0.44 states/eV per atom

[4]
! Li5Zn8Au (GGA-PBE, optimized geometry); values from VASP
&SYSTEM
  ibrav = 0, nat = 14, ntyp = 3
/
ATOMIC_SPECIES
Zn 65.41 Zn.upf
Li 6.94 Li.upf
Au 196.97 Au.upf
CELL_PARAMETERS angstrom
-6.601 0.456 0.348
1.610 -3.668 -5.278
2.454 -2.888 5.435
ATOMIC_POSITIONS crystal
Zn 0.929 0.056 0.625
Zn 0.081 0.722 0.480
Zn 0.375 0.304 0.431
Zn 0.757 0.278 0.359
Zn 0.569 0.944 0.874
Zn 0.126 0.696 0.071
Zn 0.641 0.398 0.919
Zn 0.520 0.602 0.243
Li 0.015 0.304 0.093
Li 0.789 0.696 0.711
Li 0.289 0.078 0.985
Li 0.500 0.000 0.500
Li 0.907 0.922 0.211
Au 0.250 0.500 0.750
! Energy of formation ... -0.07 eV/atom
! Space-group type ... No. 82
! Total magnetic moment ... 0.00 Bohr magnetons per cell
! Density of states at the Fermi level ... 0.25 states/eV per atom